[1]
PdRhPb4 after structural relaxation. Source: Alexandria, functional GGA-PBE.

a b c (Å): 6.8777 6.8777 5.9240
angles (deg): 90.00 90.00 90.00
Last column: nearest neighbours and their distance in Å.
Space group I422 (No. 97)
Asymmetric unit:
Pd 0.0000 0.0000 0.0000 x2  2 Rh 2.96, 8 Pb 2.97
Rh 0.0000 0.0000 0.5000 x2  2 Pd 2.96, 8 Pb 2.97
Pb 0.1639 0.3361 0.7500 x8  2 Pd 2.97, 2 Rh 2.97, 1 Pb 3.19

Summary:
energy relative to the elements: -132 meV/atom
VASP energy: -56.338 eV for the cell shown



[2]
RuSeS2Cl after structural relaxation. Source: Alexandria, functional GGA-PBE.

a b c (Å): 4.5920 4.5920 4.7451
angles (deg): 90.00 90.00 90.00
Last column: nearest neighbours and their distance in Å.
Space group P4/mmm (No. 123)
Asymmetric unit:
Ru 0.0000 0.0000 0.0000 x1  4 S 2.30, 2 Cl 2.37
Se 0.5000 0.5000 0.5000 x1  4 Cl 3.25, 8 S 3.30
S 0.0000 0.5000 0.0000 x2  2 Ru 2.30
Cl 0.0000 0.0000 0.5000 x1  2 Ru 2.37

Summary:
energy relative to the elements, uncorrected: 421 meV per atom
VASP energy: -20.756 eV for the cell shown



[3]
CoReW2 after structural relaxation. Source: Alexandria, functional GGA-PBE.

a b c (Å): 3.1573 3.1573 5.8601
angles (deg): 90.00 90.00 90.00
Last column: nearest neighbours and their distance in Å.
Space group P4mm (No. 99)
Asymmetric unit:
Co 0.0000 0.0000 0.0000 x1  4 W 2.51, 4 Re 2.73
Re 0.5000 0.5000 0.2682 x1  5 W 2.66-2.72, 4 Co 2.73
W 0.0000 0.0000 0.5157 x1  4 Re 2.66, 4 W 2.80, 1 Co 2.84
W 0.5000 0.5000 0.8040 x1  4 Co 2.51, 1 Re 2.72, 4 W 2.80

Summary:
energy relative to the elements: 167 meV/atom
VASP energy: -44.792 eV for the cell shown



[4]
Pm3Sb5S12 after structural relaxation. Source: Alexandria, functional GGA-PBE.

a b c (Å): 16.2902 16.2902 16.2902
angles (deg): 90.00 90.00 90.00
Last column: nearest neighbours and their distance in Å.
Space group Ia-3d (No. 230)
Asymmetric unit:
Pm 0.0000 0.2500 0.1250 x24  8 S 3.01-3.03
Sb 0.0000 0.0000 0.0000 x16  6 S 2.74
Sb 0.0000 0.2500 0.3750 x24  4 S 2.61
S 0.0170 0.0672 0.6531 x96  2 Sb 2.61-2.74

Summary:
energy relative to the elements, uncorrected: -768 meV per atom
VASP energy: -797.993 eV for the cell shown



[5]
Ho4AlPd after structural relaxation. Source: Alexandria, functional GGA-PBE.

a b c (Å): 13.5094 13.5094 13.5094
angles (deg): 90.00 90.00 90.00
Last column: nearest neighbours and their distance in Å.
Space group F-43m (No. 216)
Asymmetric unit:
Ho 0.0000 0.0000 0.1845 x24  2 Al 3.29, 2 Pd 3.48, 10 Ho 3.48-3.58
Ho 0.0579 0.2500 0.7500 x24  2 Pd 2.84
Ho 0.1061 0.1061 0.3939 x16  3 Pd 2.85
Al 0.1721 0.1721 0.1721 x16  3 Al 2.97, 6 Ho 3.25-3.29
Pd 0.1050 0.1050 0.6050 x16  6 Ho 2.84-2.85

Summary:
energy relative to the elements: -486 meV/atom
VASP energy: -482.577 eV for the cell shown



[6]
Pm5Pr2Tl4 after structural relaxation. Source: Alexandria, functional GGA-PBE.

a b c (Å): 23.6056 3.6654 8.5072
angles (deg): 90.00 103.33 90.00
Last column: nearest neighbours and their distance in Å.
Space group C2/m (No. 12)
Asymmetric unit:
Pm 0.0000 0.0000 0.0000 x2  4 Tl 3.27, 4 Pm 3.49
Pm 0.1235 0.5000 0.9771 x4  2 Tl 3.34, 3 Pr 3.48-3.66, 4 Pm 3.49-3.67
Pm 0.1738 0.5000 0.4450 x4  3 Tl 3.35-3.43, 3 Pr 3.48-3.61, 2 Pm 3.67
Pr 0.2312 0.0000 0.8124 x4  1 Tl 3.35, 6 Pm 3.48-3.66, 4 Pr 3.61-3.67
Tl 0.0281 0.5000 0.3268 x4  3 Pm 3.27-3.35, 5 Tl 3.28-3.50
Tl 0.0882 0.0000 0.6410 x4  6 Tl 3.28-3.67, 4 Pm 3.34-3.43, 1 Pr 3.35

Summary:
energy relative to the elements: -22 meV/atom
VASP energy: -86.033 eV for the cell shown